(1)
Below is an optimized crystal structure of As2PRh, with properties calculated at the PBE level.

Cell and atoms, written as extended XYZ:
```
8
Lattice="5.7177 0.0000 0.0000 0.0000 5.7177 0.0000 2.8588 2.8588 5.2335" Properties=species:S:1:pos:R:3 pbc="T T T"
P 2.8588 2.8588 0.0000
P 2.8588 5.7177 2.6167
As 4.3346 1.4294 1.3084
As 1.3831 4.2883 1.3084
As 4.2883 4.2420 3.9251
As 7.1471 7.1934 3.9251
Rh 0.0000 0.0000 0.0000
Rh 5.7177 2.8588 2.6167
```

Formation energy from the elements   -0.006 eV per atom
DOS at the Fermi energy   0.63 states/eV/cell
V   171.1 Å³ per cell
E   -5.5206 eV per atom
Space group   No. 122

---

(2)
Below is an optimized crystal structure of Ta5Co, with properties calculated at the PBE level.

Cell and atoms, written as extended XYZ:
```
6
Lattice="0.0000 3.8079 3.8079 3.8079 0.0000 3.8079 3.8079 3.8079 0.0000" Properties=species:S:1:pos:R:3 pbc="T T T"
Ta 2.8629 4.7529 4.7529
Ta 5.7118 5.7118 5.7118
Ta 4.7529 2.8629 4.7529
Ta 2.8629 2.8629 2.8629
Ta 4.7529 4.7529 2.8629
Co 0.0000 0.0000 0.0000
```

Formation energy from the elements   0.499 eV per atom
DOS at the Fermi energy   6.68 states/eV/cell
V   110.4 Å³ per cell
E   -10.5624 eV per atom
Energy above the lowest structure with this stoichiometry   3.26 eV per formula unit
Space group   No. 216

---

(3)
Below is an optimized crystal structure of Re3P, with properties calculated at the PBE level.

Cell and atoms, written as extended XYZ:
```
4
Lattice="-0.0041 2.8836 0.1716 -0.8886 0.1620 -2.7438 -6.3617 -0.1312 2.0525" Properties=species:S:1:pos:R:3 pbc="T T T"
Re -1.8522 1.4938 -0.8325
Re -3.1809 -0.0656 1.0263
Re -5.4022 1.4206 0.3128
P 0.0000 0.0000 0.0000
```

Formation energy from the elements   -0.109 eV per atom
DOS at the Fermi energy   1.90 states/eV/cell
V   55.8 Å³ per cell
E   -10.7980 eV per atom
Energy above the lowest structure with this stoichiometry   0.05 eV per formula unit
Space group   No. 123

---

(4)
Below is an optimized crystal structure of Y3SiTc, with properties calculated at the PBE level.

Cell and atoms, written as extended XYZ:
```
5
Lattice="-5.1596 -0.2297 -0.7993 0.4615 -4.9693 -1.5512 -0.6918 -1.6020 4.9262" Properties=species:S:1:pos:R:3 pbc="T T T"
Y 0.2308 -2.4846 -0.7756
Y -0.3459 -0.8010 2.4631
Y -2.5798 -0.1148 -0.3996
Si -2.6949 -3.4005 1.2879
Tc 0.0000 0.0000 0.0000
```

DOS at the Fermi energy   1.08 states/eV/cell
V   142.7 Å³ per cell
E   -6.7632 eV per atom
Energy above the lowest structure with this stoichiometry   0.00 eV per formula unit
Space group   No. 221
Energy relative to the elements, uncorrected   273 meV per atom

---

(5)
Below is an optimized crystal structure of Sr4GaAs4, with properties calculated at the PBE level.

Cell and atoms, written as extended XYZ:
```
18
Lattice="6.5768 0.0000 0.0000 0.0000 9.0420 0.0000 0.0000 0.0000 9.0420" Properties=species:S:1:pos:R:3 pbc="T T T"
Sr 2.0186 2.4067 9.0407
Sr 5.3070 4.5223 6.9277
Sr 2.0186 6.6353 0.0013
Sr 1.2698 2.1143 4.5223
Sr 4.5582 9.0407 6.6353
Sr 1.2698 6.9277 4.5197
Sr 5.3070 4.5197 2.1143
Sr 4.5582 0.0013 2.4067
Ga 0.0000 0.0000 0.0000
Ga 3.2884 4.5210 4.5210
As 4.6632 6.6386 4.5197
As 4.6632 2.4034 4.5223
As 1.3748 9.0407 6.9244
As 5.2021 2.1176 9.0407
As 5.2021 6.9244 0.0013
As 1.9137 4.5197 2.4034
As 1.9137 4.5223 6.6386
As 1.3748 0.0013 2.1176
```

Formation energy from the elements   -0.988 eV per atom
DOS at the Fermi energy   9.76 states/eV/cell
V   537.7 Å³ per cell
E   -4.1380 eV per atom
Space group   No. 137

---

(6)
Below is an optimized crystal structure of NdAg2Pd, with properties calculated at the PBE level.

Cell and atoms, written as extended XYZ:
```
8
Lattice="-1.7555 -3.8481 1.2720 5.1811 -0.4073 -1.7444 2.5312 1.2351 7.2298" Properties=species:S:1:pos:R:3 pbc="T T T"
Nd 1.2618 -0.0325 1.6456
Nd 4.6951 -2.9878 5.1119
Ag 3.2887 -1.6356 -0.3974
Ag 4.2658 -1.1589 2.3934
Ag 2.6681 -1.3846 7.1549
Ag 1.6910 -1.8614 4.3640
Pd 2.1682 -2.9279 1.8228
Pd 3.7886 -0.0924 4.9346
```

Formation energy from the elements   -0.406 eV per atom
DOS at the Fermi energy   4.68 states/eV/cell
V   172.0 Å³ per cell
E   -4.3221 eV per atom
Energy above the lowest structure with this stoichiometry   0.00 eV per formula unit
Space group   No. 11

---

(7)
Below is an optimized crystal structure of NaPd2Se2, with properties calculated at the PBE level.

Cell and atoms, written as extended XYZ:
```
10
Lattice="6.5563 0.0370 0.4205 -2.1893 6.1801 0.4205 -1.6980 -2.4174 5.3219" Properties=species:S:1:pos:R:3 pbc="T T T"
Na 3.0660 2.1023 4.6222
Na -0.3970 1.6975 1.5407
Pd -1.6950 4.7118 3.3242
Pd 1.4835 4.2842 0.6632
Pd 4.3639 -0.9120 2.8388
Pd 1.1854 -0.4845 5.4997
Se -0.9290 0.2661 4.2017
Se 2.3634 -0.2415 1.5407
Se 0.3055 4.0412 4.6222
Se 3.5980 3.5336 1.9613
```

DOS at the Fermi energy   6.05 states/eV/cell
V   229.3 Å³ per cell
E   -4.1481 eV per atom
Energy above the lowest structure with this stoichiometry   0.24 eV per formula unit
Space group   No. 15
Energy relative to the elements, uncorrected   -413 meV per atom